DFT (GGA-PBE) results for a geometry-optimized CaZnNCl2 structure.

## Properties
**Symmetry**: P4/mmm, No. 123
**DFT total energy**: -16.1 eV/cell
**Energy relative to the elements, uncorrected**: -165 meV per atom
**Density**: 2.255 g cm⁻³

Unit cell a=5.407 b=4.797 c=5.407 alpha=90.00 beta=90.00 gamma=90.00
Last column: magnetic moment on the atom in μB.
Element x y z (fractional)
Zn: 0.500 0.500 0.500  -0.24
Cl: 0.000 0.000 0.500  -0.03
Cl: 0.500 0.000 0.000  -0.02
N: 0.000 0.500 0.000  1.42
Ca: 0.000 0.000 0.000  0.01